Below is an optimized crystal structure of CaFeAsO4, with properties calculated at the PBE with a Hubbard U level.

Computed properties:
- total moment (μB per formula unit) = 3.36
- symmetry = Imma (74)
- uncorrected energy (eV for the cell shown) = -87.94

abc: 6.0919 6.3049 6.3049
angles: 63.40 61.11 61.11
Site moments in Bohr magnetons follow the coordinates.
Positions (direct):
O 0.7367 0.7898 0.7368  -0.07
O 0.7186 0.2620 0.7620  -0.03
O 0.2814 0.7380 0.2380  -0.03
O 0.2573 0.2620 0.7620  -0.03
O 0.2633 0.7632 0.7102  -0.07
O 0.7427 0.7380 0.2380  -0.03
O 0.2633 0.2102 0.2632  -0.07
O 0.7367 0.2368 0.2898  -0.07
Ca 0.0000 0.5000 0.5000  -0.01
Ca 0.0000 0.0000 0.0000  -0.01
Fe 0.0000 0.0000 0.5000  3.68
Fe 0.5000 0.0000 0.5000  3.68
As 0.3630 0.3870 0.8870  -0.10
As 0.6370 0.6130 0.1130  -0.10